Entry from the Alexandria database: a geometry-optimized TbPrDy3 structure (GGA-PBE).

a b c (Å): 6.2847 5.7306 9.6195
angles (deg): 90.00 108.94 90.00
Fractional positions:
1 Tb 0.2336 0.2500 0.3021
2 Tb 0.7664 0.7500 0.6979
3 Pr 0.3659 0.7500 0.8980
4 Pr 0.6341 0.2500 0.1020
5 Dy 0.0313 0.2500 0.8977
6 Dy 0.1665 0.7500 0.4994
7 Dy 0.4325 0.2500 0.6961
8 Dy 0.5675 0.7500 0.3039
9 Dy 0.8335 0.2500 0.5006
10 Dy 0.9687 0.7500 0.1023

Properties
Its calculated total energy is -46.27 eV/cell. As for the space-group type: No. 11.


Entry from the Alexandria database: a geometry-optimized Tb3Pr2Dy6 structure (GGA-PBE).

a b c (Å): 6.1373 6.1373 11.7531
angles (deg): 95.05 95.05 120.07
Fractional positions:
1 Tb 0.0000 0.0000 0.0000
2 Tb 0.3352 0.6648 0.0000
3 Tb 0.6648 0.3352 0.0000
4 Pr 0.1668 0.8332 0.5000
5 Pr 0.8332 0.1668 0.5000
6 Dy 0.0824 0.4156 0.2468
7 Dy 0.2509 0.2509 0.7533
8 Dy 0.4156 0.0824 0.2468
9 Dy 0.5844 0.9176 0.7532
10 Dy 0.7491 0.7491 0.2467
11 Dy 0.9176 0.5844 0.7532

Properties
Its calculated total energy is -49.09 eV/cell. As for the space-group type: No. 12.


Entry from the Alexandria database: a geometry-optimized Tb4PrDy7 structure (GGA-PBE).

a b c (Å): 6.2191 7.1841 8.8508
angles (deg): 90.00 103.57 90.00
Fractional positions:
1 Tb 0.2211 0.2506 0.1646
2 Tb 0.2789 0.5005 0.8337
3 Tb 0.7211 0.4995 0.1663
4 Tb 0.7789 0.7494 0.8354
5 Pr 0.5000 0.0000 0.5000
6 Dy 0.9997 0.2506 0.4999
7 Dy 0.0003 0.7494 0.5001
8 Dy 0.2211 0.7487 0.1649
9 Dy 0.2777 0.0005 0.8343
10 Dy 0.5000 0.5000 0.5000
11 Dy 0.7223 0.9995 0.1657
12 Dy 0.7789 0.2513 0.8351

Properties
Its calculated total energy is -55.51 eV/cell. As for the space-group type: No. 2.


Entry from the Alexandria database: a geometry-optimized Tb2Pr4Dy structure (GGA-PBE).

a b c (Å): 12.6738 12.6738 6.8820
angles (deg): 97.00 97.00 150.17
Fractional positions:
1 Tb 0.0907 0.9093 0.5000
2 Tb 0.3881 0.7068 0.0954
3 Tb 0.7068 0.3881 0.5954
4 Tb 0.9093 0.0907 0.0000
5 Pr 0.2181 0.8276 0.1488
6 Pr 0.2993 0.8368 0.6810
7 Pr 0.4149 0.4526 0.9124
8 Pr 0.4526 0.4149 0.4124
9 Pr 0.8276 0.2181 0.6488
10 Pr 0.8368 0.2993 0.1810
11 Pr 0.8657 0.9749 0.4457
12 Pr 0.9749 0.8657 0.9457
13 Dy 0.3430 0.5930 0.5476
14 Dy 0.5930 0.3430 0.0476

Properties
Its calculated total energy is -65.09 eV/cell. As for the space-group type: No. 9.


Entry from the Alexandria database: a geometry-optimized TbPr7Dy12 structure (GGA-PBE).

a b c (Å): 9.8417 9.8417 9.8417
angles (deg): 109.47 109.47 109.47
Fractional positions:
1 Tb 0.0000 0.0000 0.0000
2 Pr 0.0000 0.0000 0.5000
3 Pr 0.0000 0.5000 0.0000
4 Pr 0.0000 0.5000 0.5000
5 Pr 0.5000 0.0000 0.0000
6 Pr 0.5000 0.0000 0.5000
7 Pr 0.5000 0.5000 0.0000
8 Pr 0.5000 0.5000 0.5000
9 Dy 0.0000 0.2465 0.7535
10 Dy 0.0000 0.7535 0.2465
11 Dy 0.2465 0.0000 0.7535
12 Dy 0.2465 0.2465 0.4929
13 Dy 0.2465 0.4929 0.2465
14 Dy 0.2465 0.7535 0.0000
15 Dy 0.4929 0.2465 0.2465
16 Dy 0.5071 0.7535 0.7535
17 Dy 0.7535 0.0000 0.2465
18 Dy 0.7535 0.2465 0.0000
19 Dy 0.7535 0.5071 0.7535
20 Dy 0.7535 0.7535 0.5071

Properties
Its calculated total energy is -80.77 eV/cell. As for the space-group type: No. 229.


Entry from the Alexandria database: a geometry-optimized Tb5Pr2Dy6 structure (GGA-PBE).

a b c (Å): 11.7303 20.3191 3.5925
angles (deg): 90.00 90.00 90.00
Fractional positions:
1 Tb 0.0000 0.0000 0.0000
2 Tb 0.0911 0.2789 0.0000
3 Tb 0.2003 0.5521 0.0000
4 Tb 0.2997 0.0521 0.0000
5 Tb 0.4089 0.7789 0.0000
6 Tb 0.5000 0.5000 0.0000
7 Tb 0.5911 0.2211 0.0000
8 Tb 0.7003 0.9479 0.0000
9 Tb 0.7997 0.4479 0.0000
10 Tb 0.9089 0.7211 0.0000
11 Pr 0.1694 0.7169 0.5000
12 Pr 0.3306 0.2169 0.5000
13 Pr 0.6694 0.7831 0.5000
14 Pr 0.8306 0.2831 0.5000
15 Dy 0.0593 0.4229 0.5000
16 Dy 0.0772 0.1350 0.5000
17 Dy 0.1799 0.8736 0.0000
18 Dy 0.3201 0.3736 0.0000
19 Dy 0.4228 0.6350 0.5000
20 Dy 0.4407 0.9229 0.5000
21 Dy 0.5593 0.0771 0.5000
22 Dy 0.5772 0.3650 0.5000
23 Dy 0.6799 0.6264 0.0000
24 Dy 0.8201 0.1264 0.0000
25 Dy 0.9228 0.8650 0.5000
26 Dy 0.9407 0.5771 0.5000

Properties
Its calculated total energy is -118.08 eV/cell. As for the space-group type: No. 55.


Entry from the Alexandria database: a geometry-optimized Tb6Pr5Dy structure (GGA-PBE).

a b c (Å): 9.5869 9.5869 9.5869
angles (deg): 148.93 115.73 73.10
Fractional positions:
1 Tb 0.0827 0.3339 0.7488
2 Tb 0.2479 0.0000 0.2479
3 Tb 0.4149 0.6661 0.7488
4 Tb 0.5851 0.3339 0.2512
5 Tb 0.7521 0.0000 0.7521
6 Tb 0.9173 0.6661 0.2512
7 Pr 0.1652 0.1652 0.0000
8 Pr 0.3333 0.8333 0.5000
9 Pr 0.5000 0.5000 0.0000
10 Pr 0.6667 0.1667 0.5000
11 Pr 0.8348 0.8348 0.0000
12 Dy 0.0000 0.5000 0.5000

Properties
Its calculated total energy is -56.08 eV/cell. As for the space-group type: No. 71.


Entry from the Alexandria database: a geometry-optimized TbPr4Dy4 structure (GGA-PBE).

a b c (Å): 8.1015 8.1015 8.1015
angles (deg): 95.70 95.70 143.25
Fractional positions:
1 Tb 0.0000 0.0000 0.0000
2 Pr 0.3333 0.3333 0.6665
3 Pr 0.3333 0.6667 0.0000
4 Pr 0.6667 0.3333 0.0000
5 Pr 0.6667 0.6667 0.3335
6 Dy 0.0000 0.3355 0.3355
7 Dy 0.0000 0.6645 0.6645
8 Dy 0.3355 0.0000 0.3355
9 Dy 0.6645 0.0000 0.6645

Properties
Its calculated total energy is -41.99 eV/cell. As for the space-group type: No. 139.


Entry from the Alexandria database: a geometry-optimized TbPr12Dy6 structure (GGA-PBE).

a b c (Å): 8.7439 8.7439 8.7439
angles (deg): 88.91 88.91 88.91
Fractional positions:
1 Tb 0.0000 0.0000 0.0000
2 Pr 0.0181 0.1936 0.3630
3 Pr 0.1936 0.3630 0.0181
4 Pr 0.2180 0.4640 0.5671
5 Pr 0.3630 0.0181 0.1936
6 Pr 0.4329 0.7820 0.5360
7 Pr 0.4640 0.5671 0.2180
8 Pr 0.5360 0.4329 0.7820
9 Pr 0.5671 0.2180 0.4640
10 Pr 0.6370 0.9819 0.8064
11 Pr 0.7820 0.5360 0.4329
12 Pr 0.8064 0.6370 0.9819
13 Pr 0.9819 0.8064 0.6370
14 Dy 0.0990 0.7039 0.2586
15 Dy 0.2586 0.0990 0.7039
16 Dy 0.2961 0.7414 0.9010
17 Dy 0.7039 0.2586 0.0990
18 Dy 0.7414 0.9010 0.2961
19 Dy 0.9010 0.2961 0.7414

Properties
Its calculated total energy is -87.17 eV/cell. As for the space-group type: No. 148.


Entry from the Alexandria database: a geometry-optimized Tb4Pr7Dy structure (GGA-PBE).

a b c (Å): 8.7093 8.7093 9.4852
angles (deg): 114.42 114.42 40.74
Fractional positions:
1 Tb 0.0713 0.0713 0.1970
2 Tb 0.1716 0.1716 0.8876
3 Tb 0.8284 0.8284 0.1124
4 Tb 0.9287 0.9287 0.8030
5 Pr 0.0000 0.0000 0.5000
6 Pr 0.2901 0.2901 0.2685
7 Pr 0.2904 0.2904 0.6196
8 Pr 0.4160 0.4160 0.0558
9 Pr 0.5840 0.5840 0.9442
10 Pr 0.7096 0.7096 0.3804
11 Pr 0.7099 0.7099 0.7315
12 Dy 0.5000 0.5000 0.5000

Properties
Its calculated total energy is -54.06 eV/cell. As for the space-group type: No. 12.


Entry from the Alexandria database: a geometry-optimized Tb2PrDy6 structure (GGA-PBE).

a b c (Å): 7.6597 7.6597 7.6597
angles (deg): 57.52 57.52 57.52
Fractional positions:
1 Tb 0.0000 0.0000 0.0000
2 Tb 0.1757 0.1757 0.1757
3 Pr 0.7372 0.7372 0.7372
4 Dy 0.0347 0.4679 0.4679
5 Dy 0.2031 0.6806 0.6806
6 Dy 0.4679 0.0347 0.4679
7 Dy 0.4679 0.4679 0.0347
8 Dy 0.6806 0.2031 0.6806
9 Dy 0.6806 0.6806 0.2031

Properties
Its calculated total energy is -38.62 eV/cell. As for the space-group type: No. 160.


Entry from the Alexandria database: a geometry-optimized Tb6PrDy8 structure (GGA-PBE).

a b c (Å): 8.6313 8.6313 8.6313
angles (deg): 63.21 63.21 63.21
Fractional positions:
1 Tb 0.0373 0.7330 0.6064
2 Tb 0.2670 0.3936 0.9627
3 Tb 0.3936 0.9627 0.2670
4 Tb 0.6064 0.0373 0.7330
5 Tb 0.7330 0.6064 0.0373
6 Tb 0.9627 0.2670 0.3936
7 Pr 0.5000 0.5000 0.5000
8 Dy 0.0765 0.0765 0.0765
9 Dy 0.2201 0.2442 0.6110
10 Dy 0.2442 0.6110 0.2201
11 Dy 0.3890 0.7799 0.7558
12 Dy 0.6110 0.2201 0.2442
13 Dy 0.7558 0.3890 0.7799
14 Dy 0.7799 0.7558 0.3890
15 Dy 0.9235 0.9235 0.9235

Properties
Its calculated total energy is -67.40 eV/cell. As for the space-group type: No. 148.


Entry from the Alexandria database: a geometry-optimized Tb2Pr3Dy structure (GGA-PBE).

a b c (Å): 6.3319 6.3319 11.7109
angles (deg): 90.00 90.00 59.86
Fractional positions:
1 Tb 0.0009 0.3326 0.0000
2 Tb 0.3326 0.0009 0.5000
3 Tb 0.6674 0.9991 0.0000
4 Tb 0.9991 0.6674 0.5000
5 Pr 0.0012 0.9988 0.2500
6 Pr 0.3325 0.3348 0.7500
7 Pr 0.3348 0.3325 0.2500
8 Pr 0.6652 0.6675 0.7500
9 Pr 0.6675 0.6652 0.2500
10 Pr 0.9988 0.0012 0.7500
11 Dy 0.3341 0.6659 0.0001
12 Dy 0.6659 0.3341 0.5001

Properties
Its calculated total energy is -56.55 eV/cell. As for the space-group type: No. 36.


Entry from the Alexandria database: a geometry-optimized Tb6PrDy structure (GGA-PBE).

a b c (Å): 5.0592 5.0592 10.1165
angles (deg): 90.00 90.00 90.00
Fractional positions:
1 Tb 0.0000 0.0000 0.0000
2 Tb 0.0000 0.0000 0.5000
3 Tb 0.0000 0.5000 0.2472
4 Tb 0.0000 0.5000 0.7528
5 Tb 0.5000 0.0000 0.2472
6 Tb 0.5000 0.0000 0.7528
7 Pr 0.5000 0.5000 0.5000
8 Dy 0.5000 0.5000 0.0000

Properties
Its calculated total energy is -36.99 eV/cell. As for the space-group type: No. 123.


Entry from the Alexandria database: a geometry-optimized Tb2PrDy structure (GGA-PBE).

a b c (Å): 6.2245 6.2255 7.1876
angles (deg): 89.89 73.24 80.51
Fractional positions:
1 Tb 0.2488 0.3752 0.0626
2 Tb 0.2491 0.3767 0.5634
3 Tb 0.7509 0.6233 0.4366
4 Tb 0.7512 0.6248 0.9374
5 Pr 0.2519 0.8752 0.3115
6 Pr 0.7481 0.1248 0.6885
7 Dy 0.2495 0.8736 0.8134
8 Dy 0.7505 0.1264 0.1866

Properties
Its calculated total energy is -37.14 eV/cell. As for the space-group type: No. 2.


Entry from the Alexandria database: a geometry-optimized Tb2Pr2Dy5 structure (GGA-PBE).

a b c (Å): 11.0226 11.0226 8.2566
angles (deg): 99.72 99.72 18.26
Fractional positions:
1 Tb 0.0470 0.0470 0.3561
2 Tb 0.9530 0.9530 0.6439
3 Pr 0.3182 0.3182 0.8560
4 Pr 0.6818 0.6818 0.1440
5 Dy 0.1904 0.1904 0.5306
6 Dy 0.4041 0.4041 0.2658
7 Dy 0.5000 0.5000 0.0000
8 Dy 0.5959 0.5959 0.7342
9 Dy 0.8096 0.8096 0.4694

Properties
Its calculated total energy is -39.80 eV/cell. As for the space-group type: No. 12.


Entry from the Alexandria database: a geometry-optimized Tb2Pr9Dy3 structure (GGA-PBE).

a b c (Å): 9.1562 9.1562 14.0079
angles (deg): 90.00 90.00 120.00
Fractional positions:
1 Tb 0.3333 0.6667 0.1428
2 Tb 0.3333 0.6667 0.3572
3 Tb 0.6667 0.3333 0.6428
4 Tb 0.6667 0.3333 0.8572
5 Pr 0.0792 0.4809 0.7500
6 Pr 0.1317 0.7260 0.5401
7 Pr 0.1317 0.7260 0.9599
8 Pr 0.2740 0.4057 0.5401
9 Pr 0.2740 0.4057 0.9599
10 Pr 0.4017 0.9208 0.7500
11 Pr 0.4057 0.1317 0.0401
12 Pr 0.4057 0.1317 0.4599
13 Pr 0.4809 0.4017 0.2500
14 Pr 0.5191 0.5983 0.7500
15 Pr 0.5943 0.8683 0.5401
16 Pr 0.5943 0.8683 0.9599
17 Pr 0.5983 0.0792 0.2500
18 Pr 0.7260 0.5943 0.0401
19 Pr 0.7260 0.5943 0.4599
20 Pr 0.8683 0.2740 0.0401
21 Pr 0.8683 0.2740 0.4599
22 Pr 0.9208 0.5191 0.2500
23 Dy 0.0780 0.2496 0.2500
24 Dy 0.1716 0.9220 0.2500
25 Dy 0.2496 0.1716 0.7500
26 Dy 0.7504 0.8284 0.2500
27 Dy 0.8284 0.0780 0.7500
28 Dy 0.9220 0.7504 0.7500

Properties
Its calculated total energy is -125.64 eV/cell. As for the space-group type: No. 176.


Entry from the Alexandria database: a geometry-optimized Tb3Pr9Dy2 structure (GGA-PBE).

a b c (Å): 9.1476 9.1476 14.0316
angles (deg): 90.00 90.00 120.00
Fractional positions:
1 Tb 0.0799 0.2501 0.2500
2 Tb 0.1702 0.9201 0.2500
3 Tb 0.2501 0.1702 0.7500
4 Tb 0.7499 0.8298 0.2500
5 Tb 0.8298 0.0799 0.7500
6 Tb 0.9201 0.7499 0.7500
7 Pr 0.0788 0.4815 0.7500
8 Pr 0.1320 0.7267 0.5406
9 Pr 0.1320 0.7267 0.9594
10 Pr 0.2733 0.4053 0.5406
11 Pr 0.2733 0.4053 0.9594
12 Pr 0.4027 0.9212 0.7500
13 Pr 0.4053 0.1320 0.0406
14 Pr 0.4053 0.1320 0.4594
15 Pr 0.4815 0.4027 0.2500
16 Pr 0.5185 0.5973 0.7500
17 Pr 0.5947 0.8680 0.5406
18 Pr 0.5947 0.8680 0.9594
19 Pr 0.5973 0.0788 0.2500
20 Pr 0.7267 0.5947 0.0406
21 Pr 0.7267 0.5947 0.4594
22 Pr 0.8680 0.2733 0.0406
23 Pr 0.8680 0.2733 0.4594
24 Pr 0.9212 0.5185 0.2500
25 Dy 0.3333 0.6667 0.1428
26 Dy 0.3333 0.6667 0.3572
27 Dy 0.6667 0.3333 0.6428
28 Dy 0.6667 0.3333 0.8572

Properties
Its calculated total energy is -125.77 eV/cell. As for the space-group type: No. 176.


Number 1: V 164 Å³/f.u.. Number 2: V 377 Å³/f.u.. Number 3: V 384 Å³/f.u.. Number 4: V 242 Å³/f.u.. Number 5: V 734 Å³/f.u.. Number 6: V 428 Å³/f.u.. Number 7: V 403 Å³/f.u.. Number 8: V 302 Å³/f.u.. Number 9: V 668 Å³/f.u.. Number 10: V 421 Å³/f.u.. Number 11: V 300 Å³/f.u.. Number 12: V 487 Å³/f.u.. Number 13: V 203 Å³/f.u.. Number 14: V 259 Å³/f.u.. Number 15: V 131 Å³/f.u.. Number 16: V 310 Å³/f.u.. Number 17: V 509 Å³/f.u.. Number 18: V 508 Å³/f.u..